Record 1
Density functional theory data (PBE) for MnMo2Pb after structural relaxation.

a b c (Å): 9.1652 9.1652 9.1652
angles (deg): 18.75 18.75 18.75
Element x y z (fractional)
1 Mn 0.0000 0.0000 0.0000
2 Mo 0.2611 0.2611 0.2611
3 Mo 0.7389 0.7389 0.7389
4 Pb 0.5000 0.5000 0.5000

Results
symmetry	R-3m, No. 166

=====

Record 2
Density functional theory data (PBE) for Mn2MoPb after structural relaxation.

a b c (Å): 4.5402 4.5402 4.5402
angles (deg): 60.00 60.00 60.00
Element x y z (fractional)
1 Mn 0.0000 0.0000 0.0000
2 Mn 0.2500 0.2500 0.2500
3 Mo 0.7500 0.7500 0.7500
4 Pb 0.5000 0.5000 0.5000

Results
symmetry	F-43m, No. 216

=====

Record 3
Density functional theory data (PBE) for MnMoPb3 after structural relaxation.

a b c (Å): 5.2049 5.2049 5.2049
angles (deg): 90.00 90.00 90.00
Element x y z (fractional)
1 Mn 0.0000 0.0000 0.0000
2 Mo 0.5000 0.5000 0.5000
3 Pb 0.0000 0.0000 0.5000
4 Pb 0.0000 0.5000 0.0000
5 Pb 0.5000 0.0000 0.0000

Results
symmetry	Pm-3m, No. 221
offset from the most stable computed form	14.74	kJ/mol of atoms

=====

Record 4
Density functional theory data (PBE) for MnMo2Pb after structural relaxation.

a b c (Å): 2.9459 2.9459 8.8717
angles (deg): 90.00 90.00 111.04
Element x y z (fractional)
1 Mn 0.0000 0.0000 0.0000
2 Mo 0.0000 0.0000 0.4452
3 Mo 0.5000 0.5000 0.2181
4 Pb 0.5000 0.5000 0.7268

Results
symmetry	Cmm2, No. 35

=====

Record 5
Density functional theory data (PBE) for Mn2MoPb after structural relaxation.

a b c (Å): 5.1440 5.1440 4.4469
angles (deg): 115.42 115.42 38.12
Element x y z (fractional)
1 Mn 0.0000 0.0000 0.0000
2 Mn 0.7393 0.7393 0.2391
3 Mo 0.2710 0.2710 0.7716
4 Pb 0.5003 0.5003 0.5002

Results
symmetry	Cm, No. 8

=====

Record 6
Density functional theory data (PBE) for Mn2MoPb after structural relaxation.

a b c (Å): 3.2461 3.2461 6.3120
angles (deg): 90.00 90.00 90.00
Element x y z (fractional)
1 Mn 0.0000 0.0000 0.0000
2 Mn 0.5000 0.5000 0.2062
3 Mo 0.0000 0.0000 0.4022
4 Pb 0.5000 0.5000 0.7166

Results
symmetry	P4mm, No. 99

=====

Number 1: magnetic moment 0.381 μB/atom, formation enthalpy at 0 K 0.702 eV per atom. Number 2: magnetic moment 1.257 μB/atom, formation enthalpy at 0 K 0.552 eV per atom. Number 3: magnetic moment 1.450 μB/atom, formation enthalpy at 0 K 1.037 eV per atom. Number 4: magnetic moment 0.723 μB/atom, formation enthalpy at 0 K 0.513 eV per atom. Number 5: magnetic moment 1.137 μB/atom, formation enthalpy at 0 K 0.501 eV per atom. Number 6: magnetic moment 1.203 μB/atom, formation enthalpy at 0 K 0.460 eV per atom.